## KTc3S (PBE)

Data for a relaxed KTc3S crystal.

For the formation energy from raw total energies, the calculation gives 3.37 eV per atom. As for the uncorrected energy: -19.49 eV for the cell shown.

a = 4.5902 Å, b = 4.5902 Å, c = 4.5902 Å
α = 90.00°, β = 90.00°, γ = 90.00°
Last column: nearest neighbours and their distance in Å.
Space group Pm-3m (No. 221)
Unique sites:
K 0.0000 0.0000 0.0000 (multiplicity 1)  6 Tc 2.30
Tc 0.0000 0.0000 0.5000 (multiplicity 3)  2 K 2.30
S 0.5000 0.5000 0.5000 (multiplicity 1)  12 Tc 3.25

---

## SbSCl2 (PBE)

Data for a relaxed SbSCl2 crystal.

For the formation energy from raw total energies, the calculation gives -0.17 eV per atom. As for the uncorrected energy: -50.46 eV for the cell shown.

a = 9.8087 Å, b = 9.8087 Å, c = 5.0519 Å
α = 90.00°, β = 90.00°, γ = 90.00°
Last column: nearest neighbours and their distance in Å.
Space group I-42d (No. 122)
Unique sites:
Sb 0.0000 0.0000 0.0000 (multiplicity 4)  2 S 2.53, 4 Cl 2.72
S 0.0000 0.0000 0.5000 (multiplicity 4)  2 Sb 2.53
Cl 0.1021 0.2500 0.1250 (multiplicity 8)  2 Sb 2.72

---

## SrLi3Ag3 (PBE)

Data for a relaxed SrLi3Ag3 crystal.

As for the uncorrected energy: -33.95 eV for the cell shown. The energy relative to the elements is -0.142 eV/atom.

a = 8.9573 Å, b = 8.9573 Å, c = 4.5401 Å
α = 90.00°, β = 90.00°, γ = 120.00°
Last column: nearest neighbours and their distance in Å.
Space group P6_3/m (No. 176)
Unique sites:
Sr 0.3333 0.6667 0.2500 (multiplicity 2)  9 Ag 3.10-3.28
Li 0.0141 0.7740 0.7500 (multiplicity 6)  3 Ag 2.77-2.82, 4 Li 3.09
Ag 0.0501 0.4274 0.7500 (multiplicity 6)  3 Li 2.77-2.82, 2 Ag 2.97, 1 Sr 3.10

---

## SrLi2Mg2 (PBE)

Data for a relaxed SrLi2Mg2 crystal.

As for the uncorrected energy: -17.42 eV for the cell shown. The energy relative to the elements is -0.003 eV/atom.

a = 8.6924 Å, b = 8.6924 Å, c = 3.5306 Å
α = 90.00°, β = 90.00°, γ = 90.00°
Last column: nearest neighbours and their distance in Å.
Space group P4/mbm (No. 127)
Unique sites:
Sr 0.0000 0.0000 0.0000 (multiplicity 2)  4 Li 3.42, 2 Sr 3.53, 8 Mg 3.72
Li 0.1288 0.3712 0.0000 (multiplicity 4)  6 Mg 3.08-3.15, 1 Li 3.17, 2 Sr 3.42
Mg 0.1594 0.6594 0.5000 (multiplicity 4)  6 Li 3.08-3.15

---

## LaSmHoTm2 (PBE)

Data for a relaxed LaSmHoTm2 crystal.

As for the uncorrected energy: -85.49 eV for the cell shown. The energy relative to the elements is 0.359 eV/atom.

a = 8.4052 Å, b = 11.4856 Å, c = 7.2094 Å
α = 90.00°, β = 90.00°, γ = 90.00°
Last column: nearest neighbours and their distance in Å.
Space group Cmcm (No. 63)
Unique sites:
La 0.0000 0.2335 0.2500 (multiplicity 4)  1 Sm 3.06
Sm 0.0000 0.5001 0.2500 (multiplicity 4)  1 La 3.06, 4 Tm 3.19, 1 Ho 3.26
Ho 0.0000 0.2165 0.7500 (multiplicity 4)  1 Sm 3.26, 4 Tm 3.45, 2 La 3.61
Tm 0.1875 0.0000 0.0000 (multiplicity 8)  1 Tm 3.15, 2 Sm 3.19, 2 Ho 3.45

---

## GdZr2Ti (PBE)

Data for a relaxed GdZr2Ti crystal.

As for the uncorrected energy: -38.32 eV for the cell shown. The energy relative to the elements is 0.187 eV/atom.

a = 4.5288 Å, b = 4.5288 Å, c = 4.5466 Å
α = 90.00°, β = 90.00°, γ = 90.00°
Last column: nearest neighbours and their distance in Å.
Space group P4/mmm (No. 123)
Unique sites:
Gd 0.0000 0.0000 0.0000 (multiplicity 1)  4 Ti 3.20, 8 Zr 3.21
Zr 0.0000 0.5000 0.5000 (multiplicity 2)  4 Zr 3.20, 4 Gd 3.21, 4 Ti 3.21
Ti 0.5000 0.5000 0.0000 (multiplicity 1)  4 Gd 3.20, 8 Zr 3.21

---

## GdAlCo4 (PBE)

Data for a relaxed GdAlCo4 crystal.

As for the uncorrected energy: -189.91 eV for the cell shown. The energy relative to the elements is -0.205 eV/atom.

a = 6.9432 Å, b = 6.9432 Å, c = 6.9432 Å
α = 90.00°, β = 90.00°, γ = 90.00°
Last column: nearest neighbours and their distance in Å.
Space group F-43m (No. 216)
Unique sites:
Gd 0.0000 0.0000 0.0000 (multiplicity 4)  12 Co 2.88, 4 Al 3.01
Al 0.2500 0.2500 0.2500 (multiplicity 4)  12 Co 2.88, 4 Gd 3.01
Co 0.1236 0.1236 0.6236 (multiplicity 16)  6 Co 2.43-2.48

---

## Dy2Re3Os (PBE)

Data for a relaxed Dy2Re3Os crystal.

As for the uncorrected energy: -118.14 eV for the cell shown. The energy relative to the elements is -0.215 eV/atom.

a = 9.1687 Å, b = 5.3078 Å, c = 5.5130 Å
α = 90.00°, β = 123.72°, γ = 90.00°
Last column: nearest neighbours and their distance in Å.
Space group C2/m (No. 12)
Unique sites:
Dy 0.1261 0.0000 0.3785 (multiplicity 4)  3 Os 3.11, 9 Re 3.17-3.24, 4 Dy 3.25-3.47
Re 0.0000 0.5000 0.0000 (multiplicity 2)  4 Re 2.65, 2 Os 2.76
Re 0.2500 0.2500 0.0000 (multiplicity 4)  4 Re 2.65, 2 Os 2.76
Os 0.0000 0.5000 0.5000 (multiplicity 2)  6 Re 2.76

---

## RbPdN3 (PBE)

Data for a relaxed RbPdN3 crystal.

For the formation energy from raw total energies, the calculation gives 1.89 eV per atom. As for the uncorrected energy: -21.70 eV for the cell shown.

a = 4.1089 Å, b = 4.1089 Å, c = 4.1089 Å
α = 90.00°, β = 90.00°, γ = 90.00°
Last column: nearest neighbours and their distance in Å.
Space group Pm-3m (No. 221)
Unique sites:
Rb 0.0000 0.0000 0.0000 (multiplicity 1)  12 N 2.91
Pd 0.5000 0.5000 0.5000 (multiplicity 1)  6 N 2.05
N 0.0000 0.5000 0.5000 (multiplicity 3)  2 Pd 2.05

---

## Cd5InAu4 (PBE)

Data for a relaxed Cd5InAu4 crystal.

As for the uncorrected energy: -22.07 eV for the cell shown. The energy relative to the elements is -0.164 eV/atom.

a = 4.6386 Å, b = 6.7318 Å, c = 7.4695 Å
α = 90.61°, β = 107.75°, γ = 90.04°
Last column: nearest neighbours and their distance in Å.
Space group P-1 (No. 2)
Unique sites:
Cd 0.0000 0.0000 0.0000 (multiplicity 1)  6 Au 2.85-2.89
Cd 0.3270 0.5110 0.6517 (multiplicity 2)  5 Au 2.82-3.09, 1 Cd 3.15
Cd 0.3281 0.9900 0.6541 (multiplicity 2)  5 Au 2.82-3.03
In 0.0000 0.5000 0.0000 (multiplicity 1)  6 Au 2.86-2.88
Au 0.1624 0.7490 0.3277 (multiplicity 2)  7 Cd 2.82-2.91, 1 In 2.86
Au 0.4989 0.7515 0.9951 (multiplicity 2)  6 Cd 2.85-3.09, 2 In 2.87-2.88

---

## Ce2BeSi2 (PBE)

Data for a relaxed Ce2BeSi2 crystal.

For the formation energy from raw total energies, the calculation gives -0.57 eV per atom. As for the uncorrected energy: -117.24 eV for the cell shown.

a = 10.7337 Å, b = 3.9789 Å, c = 10.3831 Å
α = 90.00°, β = 118.23°, γ = 90.00°
Last column: nearest neighbours and their distance in Å.
Space group C2/m (No. 12)
Unique sites:
Ce 0.1398 0.0000 0.4256 (multiplicity 4)  2 Ce 2.91, 6 Si 3.00-3.09, 2 Be 3.04
Ce 0.2160 0.5000 0.1442 (multiplicity 4)  7 Si 3.01-3.14, 4 Be 3.06-3.10
Be 0.0450 0.5000 0.8084 (multiplicity 4)  3 Si 2.24-2.26
Si 0.0274 0.0000 0.9015 (multiplicity 4)  2 Be 2.26, 1 Si 2.38
Si 0.0992 0.5000 0.6247 (multiplicity 4)  1 Be 2.24, 1 Si 2.45

---

## La8Pr3 (PBE)

Data for a relaxed La8Pr3 crystal.

As for the uncorrected energy: -149.72 eV for the cell shown. The energy relative to the elements is 0.350 eV/atom.

a = 10.0536 Å, b = 10.0536 Å, c = 13.8644 Å
α = 90.00°, β = 90.00°, γ = 120.00°
Last column: nearest neighbours and their distance in Å.
Space group R-3 (No. 148, hexagonal axes)
Unique sites:
La 0.0000 0.0000 0.1162 (multiplicity 6)  3 Pr 2.99, 1 La 3.22
La 0.0291 0.8047 0.6166 (multiplicity 18)  2 Pr 3.26-3.34
Pr 0.0000 0.5000 0.5000 (multiplicity 9)  4 La 2.99-3.26

---

## MnAu2 (PBE)

Data for a relaxed MnAu2 crystal.

As for the uncorrected energy: -32.06 eV for the cell shown. The energy relative to the elements is -0.102 eV/atom.

a = 3.4062 Å, b = 3.4062 Å, c = 8.7853 Å
α = 90.00°, β = 90.00°, γ = 90.00°
Last column: nearest neighbours and their distance in Å.
Space group I4/mmm (No. 139)
Unique sites:
Mn 0.0000 0.0000 0.0000 (multiplicity 2)  10 Au 2.79-2.98
Au 0.0000 0.0000 0.3397 (multiplicity 4)  5 Mn 2.79-2.98, 5 Au 2.82-2.88